(1)
Entry from the Alexandria database: a relaxed TbNdGd crystal (GGA-PBE).

## Properties
The value obtained for the mass density is 7.7 g/cm3. For the formation energy from the elements, the calculation gives 0.018 eV per atom.

Cell and atoms, written as POSCAR:
```
TbNdGd
1.0
3.614 0.000 0.000
-1.807 3.130 0.000
0.000 0.000 8.814
Nd Gd Tb
1 1 1
Direct
0.000 0.000 0.002 Nd
0.333 0.667 0.664 Gd
0.667 0.333 0.335 Tb
```



(2)
Entry from the Alexandria database: a relaxed TbNdGd2 crystal (GGA-PBE).

## Properties
The value obtained for the mass density is 7.7 g/cm3. Its polymorph energy (0 for the lowest one) is 72 meV per atom. For the formation energy from the elements, the calculation gives 0.092 eV per atom.

Cell and atoms, written as POSCAR:
```
TbNdGd2
1.0
-5.164 1.994 -1.453
-4.708 -2.897 1.483
-3.497 2.088 4.021
Tb Nd Gd
1 1 2
Direct
0.000 0.000 0.000 Tb
0.500 0.500 0.500 Nd
0.250 0.250 0.250 Gd
0.750 0.750 0.750 Gd
```



(3)
Entry from the Alexandria database: a relaxed TbNdGd4 crystal (GGA-PBE).

## Properties
The value obtained for the mass density is 7.6 g/cm3. For the formation energy from the elements, the calculation gives 0.258 eV per atom.

Cell and atoms, written as POSCAR:
```
TbNdGd4
1.0
6.618 0.000 0.000
3.309 5.731 0.000
3.309 1.910 5.404
Tb Gd Nd
1 4 1
Direct
0.000 0.000 0.000 Tb
0.625 0.625 0.625 Gd
0.124 0.625 0.625 Gd
0.625 0.625 0.124 Gd
0.625 0.124 0.625 Gd
0.250 0.250 0.250 Nd
```



(4)
Entry from the Alexandria database: a relaxed Tb2NdGd crystal (GGA-PBE).

## Properties
The value obtained for the mass density is 7.8 g/cm3. Its polymorph energy (0 for the lowest one) is 7 meV per atom. For the formation energy from the elements, the calculation gives 0.021 eV per atom.

Cell and atoms, written as POSCAR:
```
Tb2NdGd
1.0
-2.595 -2.022 1.469
0.774 -2.663 -2.300
6.688 -3.775 6.620
Gd Tb Nd
1 2 1
Direct
0.500 0.500 0.000 Gd
0.000 0.000 0.247 Tb
0.000 0.000 0.753 Tb
0.500 0.500 0.500 Nd
```



(5)
Entry from the Alexandria database: a relaxed TbNdGd crystal (GGA-PBE).

## Properties
The value obtained for the mass density is 7.7 g/cm3. For the formation energy from the elements, the calculation gives 0.018 eV per atom.

Cell and atoms, written as POSCAR:
```
TbNdGd
1.0
3.627 0.000 0.000
0.000 3.627 0.000
-1.814 -1.814 7.593
Gd Tb Nd
1 1 1
Direct
0.332 0.332 0.664 Gd
0.667 0.667 0.334 Tb
0.001 0.001 0.002 Nd
```



(6)
Entry from the Alexandria database: a relaxed Tb2NdGd crystal (GGA-PBE).

## Properties
The value obtained for the mass density is 7.8 g/cm3. Its polymorph energy (0 for the lowest one) is 5 meV per atom. For the formation energy from the elements, the calculation gives 0.019 eV per atom.

Cell and atoms, written as POSCAR:
```
Tb2NdGd
1.0
-1.552 -1.150 3.036
1.350 -2.842 1.746
6.860 5.789 7.830
Tb Gd Nd
2 1 1
Direct
0.751 0.751 0.748 Tb
0.249 0.249 0.252 Tb
0.500 0.500 0.500 Gd
0.000 0.000 0.000 Nd
```



(7)
Entry from the Alexandria database: a relaxed TbNdGdTh crystal (GGA-PBE).

## Properties
The value obtained for the mass density is 8.7 g/cm3. For the formation energy from the elements, the calculation gives 0.152 eV per atom.

Cell and atoms, written as POSCAR:
```
TbNdGdTh
1.0
-0.628 -2.861 4.910
0.910 -5.643 0.157
4.588 -2.082 2.703
Th Tb Gd Nd
1 1 1 1
Direct
0.750 0.750 0.750 Th
0.000 0.000 0.000 Tb
0.500 0.500 0.500 Gd
0.250 0.250 0.250 Nd
```



(8)
Entry from the Alexandria database: a relaxed TbNdGdTm crystal (GGA-PBE).

## Properties
The value obtained for the mass density is 8.0 g/cm3. For the formation energy from the elements, the calculation gives 0.111 eV per atom.

Cell and atoms, written as POSCAR:
```
TbNdGdTm
1.0
5.698 0.000 0.000
2.849 4.935 0.000
2.849 1.645 4.652
Tm Nd Tb Gd
1 1 1 1
Direct
0.500 0.500 0.500 Tm
0.750 0.750 0.750 Nd
0.000 0.000 0.000 Tb
0.250 0.250 0.250 Gd
```



(9)
Entry from the Alexandria database: a relaxed TbNdGdY crystal (GGA-PBE).

## Properties
The value obtained for the mass density is 6.8 g/cm3. For the formation energy from the elements, the calculation gives 0.112 eV per atom.

Cell and atoms, written as POSCAR:
```
TbNdGdY
1.0
-4.426 3.020 -2.039
-5.116 -2.502 -0.661
-4.348 1.407 3.462
Gd Nd Y Tb
1 1 1 1
Direct
0.500 0.500 0.500 Gd
0.000 0.000 0.000 Nd
0.750 0.750 0.750 Y
0.250 0.250 0.250 Tb
```



(10)
Entry from the Alexandria database: a relaxed TbNdGdZn crystal (GGA-PBE).

## Properties
The value obtained for the mass density is 7.8 g/cm3. For the formation energy from the elements, the calculation gives 0.037 eV per atom.

Cell and atoms, written as POSCAR:
```
TbNdGdZn
1.0
-0.956 2.051 -4.918
-5.041 0.063 -1.973
-2.650 4.694 -0.507
Zn Tb Gd Nd
1 1 1 1
Direct
0.000 0.000 0.000 Zn
0.500 0.500 0.500 Tb
0.750 0.750 0.750 Gd
0.250 0.250 0.250 Nd
```



(11)
Entry from the Alexandria database: a relaxed Nd3GdTc crystal (GGA-PBE).

## Properties
The value obtained for the mass density is 6.8 g/cm3. For the formation energy from the elements, the calculation gives 0.196 eV per atom.

Cell and atoms, written as POSCAR:
```
Nd3GdTc
1.0
-2.470 4.631 -1.736
-4.152 -2.996 -2.084
-2.687 0.373 4.816
Gd Nd Tc
1 3 1
Direct
0.500 0.500 0.500 Gd
0.500 0.000 0.000 Nd
0.000 0.500 0.000 Nd
0.000 0.000 0.500 Nd
0.000 0.000 0.000 Tc
```



(12)
Entry from the Alexandria database: a relaxed NdGd2Tc crystal (GGA-PBE).

## Properties
The value obtained for the mass density is 8.8 g/cm3. Its polymorph energy (0 for the lowest one) is 171 meV per atom. For the formation energy from the elements, the calculation gives 0.212 eV per atom.

Cell and atoms, written as POSCAR:
```
NdGd2Tc
1.0
-0.649 2.397 -4.148
-1.114 -2.414 -4.038
-5.645 0.507 -1.641
Gd Nd Tc
2 1 1
Direct
0.728 0.728 0.816 Gd
0.272 0.272 0.184 Gd
0.500 0.500 0.500 Nd
0.000 0.000 0.000 Tc
```



(13)
Entry from the Alexandria database: a relaxed NdGd2Tc crystal (GGA-PBE).

## Properties
The value obtained for the mass density is 8.4 g/cm3. Its polymorph energy (0 for the lowest one) is 0 meV per atom. For the formation energy from the elements, the calculation gives 0.041 eV per atom.

Cell and atoms, written as POSCAR:
```
NdGd2Tc
1.0
3.467 0.000 0.000
0.000 3.467 0.000
0.000 0.000 9.194
Nd Gd Tc
1 2 1
Direct
0.500 0.500 0.500 Nd
0.000 0.000 0.818 Gd
0.000 0.000 0.182 Gd
0.500 0.500 0.000 Tc
```



(14)
Entry from the Alexandria database: a relaxed Nd2GdTc crystal (GGA-PBE).

## Properties
The value obtained for the mass density is 8.0 g/cm3. Its polymorph energy (0 for the lowest one) is 0 meV per atom. For the formation energy from the elements, the calculation gives 0.141 eV per atom.

Cell and atoms, written as POSCAR:
```
Nd2GdTc
1.0
3.574 0.000 0.000
0.000 3.574 0.000
0.000 0.000 8.843
Nd Tc Gd
2 1 1
Direct
0.000 0.000 0.192 Nd
0.000 0.000 0.808 Nd
0.500 0.500 0.000 Tc
0.500 0.500 0.500 Gd
```



(15)
Entry from the Alexandria database: a relaxed NdGd3Tc crystal (GGA-PBE).

## Properties
The value obtained for the mass density is 7.4 g/cm3. For the formation energy from the elements, the calculation gives 0.099 eV per atom.

Cell and atoms, written as POSCAR:
```
NdGd3Tc
1.0
5.425 0.000 0.000
0.000 5.425 0.000
0.000 0.000 5.425
Gd Nd Tc
3 1 1
Direct
0.000 0.500 0.000 Gd
0.000 0.000 0.500 Gd
0.500 0.000 0.000 Gd
0.500 0.500 0.500 Nd
0.000 0.000 0.000 Tc
```



(16)
Entry from the Alexandria database: a relaxed NdGdTc crystal (GGA-PBE).

## Properties
The value obtained for the mass density is 8.3 g/cm3. For the formation energy from the elements, the calculation gives 0.054 eV per atom.

Cell and atoms, written as POSCAR:
```
NdGdTc
1.0
-0.353 2.993 1.791
-3.449 -0.566 0.266
2.860 -4.438 4.551
Nd Gd Tc
1 1 1
Direct
0.296 0.296 0.593 Nd
0.040 0.040 0.079 Gd
0.664 0.664 0.328 Tc
```